# 1
Here is an optimized crystal structure of K2Ti3CuO8 from Alexandria via LeMat-Bulk. Energies are from GGA-PBE.

Calculated values
**Magnetization**: 1.0 μB/f.u.
**N(E_F)**: 0.2161 states/eV/atom
**Crystal system**: trigonal

a b c (Å): 7.3606 7.3606 7.3606
angles (deg): 48.46 48.46 48.46
Fractional positions:
K1 0.0000 0.0000 0.0000
K2 0.3584 0.3584 0.3584
Ti1 0.3576 0.3576 0.8662
Ti2 0.3576 0.8662 0.3576
Ti3 0.8662 0.3576 0.3576
Cu1 0.7973 0.7973 0.7973
O1 0.0920 0.0920 0.5453
O2 0.0920 0.5453 0.0920
O3 0.1367 0.1367 0.1367
O4 0.1598 0.6214 0.6214
O5 0.5453 0.0920 0.0920
O6 0.5766 0.5766 0.5766
O7 0.6214 0.1598 0.6214
O8 0.6214 0.6214 0.1598

***

# 2
Here is an optimized crystal structure of KTl2CuO2 from Alexandria via LeMat-Bulk. Energies are from GGA-PBE.

Calculated values
**Magnetization**: 0.0 μB/f.u.
**Crystal system**: orthorhombic

a b c (Å): 6.4604 13.1347 3.5710
angles (deg): 90.00 90.00 90.00
Fractional positions:
K1 0.0000 0.0000 0.0000
K2 0.5000 0.5000 0.5000
Tl1 0.1245 0.3034 0.5000
Tl2 0.3755 0.8034 0.0000
Tl3 0.6245 0.1966 0.0000
Tl4 0.8755 0.6966 0.5000
Cu1 0.0000 0.5000 0.0000
Cu2 0.5000 0.0000 0.5000
O1 0.2267 0.4181 0.0000
O2 0.2733 0.9181 0.5000
O3 0.7267 0.0819 0.5000
O4 0.7733 0.5819 0.0000

***

# 3
Here is an optimized crystal structure of K2TlCuO4 from Alexandria via LeMat-Bulk. Energies are from GGA-PBE.

Calculated values
**Magnetization**: 0.0 μB/f.u.
**Crystal system**: tetragonal

a b c (Å): 6.1302 6.1302 6.9337
angles (deg): 90.00 90.00 90.00
Fractional positions:
K1 0.0000 0.0000 0.0000
K2 0.0000 0.5000 0.2500
K3 0.5000 0.0000 0.7500
K4 0.5000 0.5000 0.5000
Tl1 0.0000 0.5000 0.7500
Tl2 0.5000 0.0000 0.2500
Cu1 0.0000 0.0000 0.5000
Cu2 0.5000 0.5000 0.0000
O1 0.1575 0.7482 0.5607
O2 0.2482 0.3425 0.9393
O3 0.2518 0.1575 0.4393
O4 0.3425 0.7518 0.0607
O5 0.6575 0.2482 0.0607
O6 0.7482 0.8425 0.4393
O7 0.7518 0.6575 0.9393
O8 0.8425 0.2518 0.5607

***

# 4
Here is an optimized crystal structure of K2TlCuO from Alexandria via LeMat-Bulk. Energies are from GGA-PBE.

Calculated values
**Magnetization**: 0.5 μB/f.u.
**N(E_F)**: 0.6342 states/eV/atom
**Crystal system**: tetragonal

a b c (Å): 6.1204 6.1204 3.6491
angles (deg): 90.00 90.00 90.00
Fractional positions:
K1 0.0000 0.5000 0.0000
K2 0.5000 0.0000 0.0000
Tl1 0.0000 0.0000 0.5000
Cu1 0.5000 0.5000 0.5000
O1 0.5000 0.5000 0.0000

***

# 5
Here is an optimized crystal structure of KTmCuO2 from Alexandria via LeMat-Bulk. Energies are from GGA-PBE.

Calculated values
**Magnetization**: 0.0 μB/f.u.
**N(E_F)**: 0.2594 states/eV/atom
**Crystal system**: monoclinic

a b c (Å): 7.3347 5.6121 6.5568
angles (deg): 90.00 111.90 90.00
Fractional positions:
K1 0.0000 0.2018 0.2500
K2 0.0000 0.7982 0.7500
Tm1 0.5000 0.4934 0.7500
Tm2 0.5000 0.5066 0.2500
Cu1 0.5000 0.0000 0.0000
Cu2 0.5000 0.0000 0.5000
O1 0.3766 0.2958 0.4440
O2 0.3766 0.7042 0.9440
O3 0.6234 0.2958 0.0560
O4 0.6234 0.7042 0.5560

***

# 6
Here is an optimized crystal structure of KTm2CuO4 from Alexandria via LeMat-Bulk. Energies are from GGA-PBE.

Calculated values
**Magnetization**: 0.0 μB/f.u.
**N(E_F)**: 0.0000 states/eV/atom
**Crystal system**: orthorhombic

a b c (Å): 5.9886 5.9886 11.6945
angles (deg): 90.00 90.00 146.94
Fractional positions:
K1 0.0989 0.9011 0.7500
K2 0.9011 0.0989 0.2500
Tm1 0.3671 0.6329 0.5607
Tm2 0.3671 0.6329 0.9393
Tm3 0.6329 0.3671 0.0607
Tm4 0.6329 0.3671 0.4393
Cu1 0.1782 0.8218 0.2500
Cu2 0.8218 0.1782 0.7500
O1 0.0000 0.0000 0.0000
O2 0.0000 0.0000 0.5000
O3 0.2549 0.7451 0.0956
O4 0.2549 0.7451 0.4044
O5 0.4227 0.5773 0.7500
O6 0.5773 0.4227 0.2500
O7 0.7451 0.2549 0.5956
O8 0.7451 0.2549 0.9044

***

# 7
Here is an optimized crystal structure of K3U2CuO9 from Alexandria via LeMat-Bulk. Energies are from GGA-PBE.

Calculated values
**Magnetization**: 2.0 μB/f.u.
**Crystal system**: trigonal

a b c (Å): 5.8981 5.8981 7.2317
angles (deg): 90.00 90.00 120.00
Fractional positions:
K1 0.0000 0.0000 0.0000
K2 0.3333 0.6667 0.6605
K3 0.6667 0.3333 0.3395
U1 0.3333 0.6667 0.1819
U2 0.6667 0.3333 0.8181
Cu1 0.0000 0.0000 0.5000
O1 0.0000 0.5000 0.0000
O2 0.1665 0.3329 0.3338
O3 0.1665 0.8335 0.3338
O4 0.3329 0.1665 0.6662
O5 0.5000 0.0000 0.0000
O6 0.5000 0.5000 0.0000
O7 0.6671 0.8335 0.3338
O8 0.8335 0.1665 0.6662
O9 0.8335 0.6671 0.6662

***

# 8
Here is an optimized crystal structure of KUCuO5 from Alexandria via LeMat-Bulk. Energies are from GGA-PBE.

Calculated values
**Magnetization**: 1.8 μB/f.u.
**N(E_F)**: 0.5728 states/eV/atom
**Crystal system**: monoclinic

a b c (Å): 6.2918 6.2918 7.8585
angles (deg): 107.12 107.12 103.94
Fractional positions:
K1 0.0835 0.9165 0.7500
K2 0.9165 0.0835 0.2500
U1 0.0000 0.5000 0.0000
U2 0.5000 0.0000 0.5000
Cu1 0.4406 0.5594 0.7500
Cu2 0.5594 0.4406 0.2500
O1 0.1785 0.8215 0.2500
O2 0.2229 0.3440 0.1223
O3 0.2270 0.6006 0.8758
O4 0.3440 0.2229 0.6223
O5 0.3994 0.7730 0.6242
O6 0.6006 0.2270 0.3758
O7 0.6560 0.7771 0.3777
O8 0.7730 0.3994 0.1242
O9 0.7771 0.6560 0.8777
O10 0.8215 0.1785 0.7500

***

Number 1: E -7.3319 eV/atom. Number 2: E -4.0794 eV/atom. Number 3: E -4.4638 eV/atom. Number 4: E -3.1233 eV/atom. Number 5: E -5.6633 eV/atom. Number 6: E -6.7675 eV/atom. Number 7: E -7.2722 eV/atom. Number 8: E -7.1309 eV/atom.